# Pr3Tl2 GGA-PBE relaxed
# ΔH_f (0 K) ... -237 meV/atom
# Spin magnetization ... 0.00 μB/f.u.
# Crystal system ... orthorhombic
# DOS(E_F) ... 28.4 states/eV/cell
data_Pr3Tl2
_chemical_formula_sum 'Pr12 Tl8'
_cell_length_a 12.7642
_cell_length_b 5.4810
_cell_length_c 9.5142
_cell_angle_alpha 90.00
_cell_angle_beta 90.00
_cell_angle_gamma 90.00
_space_group_name_H-M_alt 'P n m a'
_space_group_IT_number 62
loop_
_space_group_symop_operation_xyz
'x,y,z'
'-x,-y,-z'
'-x+1/2,-y,z+1/2'
'x+1/2,y,-z+1/2'
'x+1/2,-y+1/2,-z+1/2'
'-x+1/2,y+1/2,z+1/2'
'-x,y+1/2,-z'
'x,-y+1/2,z'
loop_
_atom_site_label
_atom_site_type_symbol
_atom_site_fract_x
_atom_site_fract_y
_atom_site_fract_z
Pr1 Pr 0.0862 0.2500 0.0835
Pr2 Pr 0.0866 0.7500 0.5831
Pr3 Pr 0.2501 0.2500 0.7507
Tl1 Tl 0.0001 0.2500 0.7498
Tl2 Tl 0.2494 0.7500 0.9175